1.
Cu5PtAu PBE relaxed; calculated formation energy = 0.07 eV per atom; offset from the most stable computed form = 13.0 meV per atom; raw total energy = -4.191 eV/atom; N(E_F) = 5.6 states/eV/cell
1.0
4.3610 -2.5480 0.0000
4.3610 2.5480 0.0000
-1.6567 0.0000 9.0798
Cu Pt Au
10 2 2
direct
0.1812 0.3044 0.7153
0.2062 0.7938 0.7500
0.3044 0.1812 0.2153
0.3290 0.3793 0.4815
0.3793 0.3290 0.9815
0.6207 0.6710 0.0185
0.6710 0.6207 0.5185
0.6956 0.8188 0.7847
0.7938 0.2062 0.2500
0.8188 0.6956 0.2847
0.3095 0.6905 0.2500
0.6905 0.3095 0.7500
0.0000 0.0000 0.0000
0.0000 0.0000 0.5000

***

2.
Cu3Pt2Au3 PBE relaxed; calculated formation energy = -0.05 eV per atom; raw total energy = -4.323 eV/atom; N(E_F) = 4.3 states/eV/cell
1.0
-1.8807 2.0217 8.0588
1.8807 -2.0217 8.0588
1.8807 2.0217 -8.0588
Cu Pt Au
3 2 3
direct
0.0000 0.0000 0.0000
0.3708 0.8708 0.5000
0.6292 0.1292 0.5000
0.2526 0.2526 0.0000
0.7474 0.7474 0.0000
0.1218 0.6218 0.5000
0.5000 0.5000 0.0000
0.8782 0.3782 0.5000

***

3.
Cu3Pt2Au4 PBE relaxed; calculated formation energy = 0.02 eV per atom; raw total energy = -4.147 eV/atom; N(E_F) = 6.1 states/eV/cell
1.0
2.8104 0.0000 0.0000
-1.4052 2.4339 0.0000
0.0000 0.0000 20.9762
Cu Pt Au
3 2 4
direct
0.0000 0.0000 0.0000
0.0000 0.0000 0.3397
0.6667 0.3333 0.6753
0.6667 0.3333 0.1006
0.6667 0.3333 0.8990
0.0000 0.0000 0.5704
0.0000 0.0000 0.7797
0.6667 0.3333 0.2352
0.6667 0.3333 0.4445

***

Q: Which formula does entry 1 have?
A: Cu5PtAu